Compound: VHgRuO6
Source: the Alexandria database
Functional: PBE with a Hubbard U
Structure: relaxed

Summary:
* total DFT energy (no corrections): -56.171 eV for the cell shown
* N(E_F): 2.406 states/eV per cell
* total magnetization: 0.325 μB/atom

a b c (Å): 4.983 5.145 5.146
angles (deg): 60.02 89.97 89.85
Space group P1 (No. 1)
One atom of each set of equivalent atoms:
1 V 0.000 0.000 0.000 [1 per cell]
2 Hg 0.480 0.334 0.333 [1 per cell]
3 Ru 0.945 0.667 0.667 [1 per cell]
4 O 0.176 0.323 0.972 [1 per cell]
5 O 0.176 0.704 0.324 [1 per cell]
6 O 0.176 0.970 0.706 [1 per cell]
7 O 0.750 0.325 0.716 [1 per cell]
8 O 0.750 0.716 0.960 [1 per cell]
9 O 0.750 0.961 0.325 [1 per cell]